Material: Cs6AuO
Method: DFT, PBE
State: optimized geometry

abc: 8.3138 8.6444 8.9557
angles: 61.14 81.71 72.63
Fractional coordinates of all 8 atoms:
Cs  0.2727  0.8267  0.7328
Cs  0.7273  0.1733  0.2672
Cs  0.3016  0.2636  0.0000
Cs  0.7273  0.4406  0.7328
Au  0.0000  0.0000  0.0000
Cs  0.2727  0.5594  0.2672
Cs  0.6984  0.7364  0.0000
O  0.5000  0.5000  0.0000

Values from the calculation:
Symmetry: C2/m (12)
VASP energy in eV/atom: -2.12
Energy above the lowest structure with this stoichiometry in eV per formula unit: 0.03



Material: Cs7Au2O2
Method: DFT, PBE
State: optimized geometry

abc: 8.3621 9.1793 9.1793
angles: 113.00 95.84 95.84
Fractional coordinates of all 11 atoms:
Cs  0.8003  0.5728  0.5728
Au  0.5000  0.3149  0.6851
Cs  0.2707  0.6143  0.9189
Cs  0.7293  0.0811  0.3857
Cs  0.7293  0.3857  0.0811
O  0.1051  0.7334  0.7334
Au  0.5000  0.6851  0.3149
Cs  0.1997  0.4272  0.4272
O  0.8949  0.2666  0.2666
Cs  0.2707  0.9189  0.6143
Cs  0.0000  0.0000  0.0000

Values from the calculation:
Symmetry: C2/m (12)
VASP energy in eV/atom: -2.67
Energy above the lowest structure with this stoichiometry in eV per formula unit: 0.00



Material: CsAu3O
Method: DFT, PBE
State: optimized geometry

abc: 4.8556 4.8556 4.8556
angles: 90.00 90.00 90.00
Fractional coordinates of all 5 atoms:
O  0.0000  0.0000  0.0000
Au  0.0000  0.0000  0.5000
Cs  0.5000  0.5000  0.5000
Au  0.5000  0.0000  0.0000
Au  0.0000  0.5000  0.0000

Values from the calculation:
Symmetry: Pm-3m (221)
VASP energy in eV/atom: -2.91
Energy above the lowest structure with this stoichiometry in eV per formula unit: 0.00



Material: Cs6AuO2
Method: DFT, PBE
State: optimized geometry

abc: 6.1361 9.0586 10.3931
angles: 104.66 90.00 109.80
Fractional coordinates of all 9 atoms:
Cs  0.6231  0.2462  0.6364
Cs  0.7677  0.5354  0.1125
Cs  0.3769  0.7538  0.3636
Cs  0.8970  0.7941  0.7872
Au  0.0000  0.0000  0.5000
Cs  0.2323  0.4646  0.8875
O  0.7554  0.5107  0.8383
O  0.2446  0.4893  0.1617
Cs  0.1030  0.2059  0.2128

Values from the calculation:
Symmetry: C2/m (12)
VASP energy in eV/atom: -2.75
Energy above the lowest structure with this stoichiometry in eV per formula unit: 0.19



Material: Cs8Au2O
Method: DFT, PBE
State: optimized geometry

abc: 4.7634 11.0253 18.1289
angles: 129.24 97.55 90.00
Fractional coordinates of all 11 atoms:
Cs  0.3981  0.7968  0.7962
Cs  0.9954  0.8141  0.9908
Cs  0.6107  0.7087  0.2214
Cs  0.2579  0.2758  0.5158
Au  0.1384  0.5209  0.2767
O  0.5000  0.0000  0.0000
Cs  0.3893  0.2913  0.7786
Cs  0.6019  0.2032  0.2038
Cs  0.7421  0.7242  0.4842
Au  0.8616  0.4791  0.7233
Cs  0.0046  0.1859  0.0092

Values from the calculation:
Symmetry: C2/m (12)
VASP energy in eV/atom: -2.07



Material: Cs12Au3O4
Method: DFT, PBE
State: optimized geometry

abc: 10.2251 10.2251 10.2251
angles: 109.47 109.47 109.47
Fractional coordinates of all 19 atoms:
Cs  0.2259  0.2816  0.5075
Au  0.5000  0.0000  0.5000
Cs  0.2816  0.0557  0.7741
Cs  0.2816  0.5075  0.2259
Cs  0.2259  0.7184  0.9443
Au  0.5000  0.5000  0.0000
Cs  0.0557  0.7741  0.2816
Cs  0.4925  0.7741  0.7184
O  0.0000  0.5000  0.0000
O  0.5000  0.5000  0.5000
Cs  0.7184  0.4925  0.7741
O  0.5000  0.0000  0.0000
Cs  0.7184  0.9443  0.2259
Au  0.0000  0.5000  0.5000
Cs  0.7741  0.2816  0.0557
Cs  0.7741  0.7184  0.4925
O  0.0000  0.0000  0.5000
Cs  0.9443  0.2259  0.7184
Cs  0.5075  0.2259  0.2816

Values from the calculation:
Symmetry: Im-3 (204)
VASP energy in eV/atom: -2.78



> The lowest VASP energy belongs to which entry?

CsAu3O



> What is the formula in the first record?

Cs6AuO



Copy entry 3 word for word.
Material: CsAu3O
Method: DFT, PBE
State: optimized geometry

abc: 4.8556 4.8556 4.8556
angles: 90.00 90.00 90.00
Fractional coordinates of all 5 atoms:
O  0.0000  0.0000  0.0000
Au  0.0000  0.0000  0.5000
Cs  0.5000  0.5000  0.5000
Au  0.5000  0.0000  0.0000
Au  0.0000  0.5000  0.0000

Values from the calculation:
Symmetry: Pm-3m (221)
VASP energy in eV/atom: -2.91
Energy above the lowest structure with this stoichiometry in eV per formula unit: 0.00



> What is the VASP energy in the fifth record?

-2.07 eV/atom